No. 1
TeOs2Ru: relaxed, PBE-GGA.

E_form (uncorrected): 0.616 eV/atom
Calculated total energy: -8.10 eV/atom
M_tot: 0.000 μB/cell

Cell and atoms, written as CIF:
```
data_TeOs2Ru
_cell_length_a 2.920
_cell_length_b 3.774
_cell_length_c 5.916
_cell_angle_alpha 90.00
_cell_angle_beta 90.00
_cell_angle_gamma 90.00
_space_group_name_H-M_alt 'P m m 2'
_space_group_IT_number 25
_space_group_name_Hall 'P 2 -2'
loop_
_atom_site_label
_atom_site_type_symbol
_atom_site_fract_x
_atom_site_fract_y
_atom_site_fract_z
Te1 Te 0.000 0.000 0.000
Os1 Os 0.000 0.000 0.512
Os2 Os 0.500 0.500 0.313
Ru1 Ru 0.500 0.500 0.762
```

=====

No. 2
TeOs2Ru: relaxed, PBE-GGA.

E_form (uncorrected): 0.803 eV/atom
Calculated total energy: -7.92 eV/atom
M_tot: 0.000 μB/cell

Cell and atoms, written as CIF:
```
data_TeOs2Ru
_cell_length_a 2.9251
_cell_length_b 2.9251
_cell_length_c 26.2732
_cell_angle_alpha 90.00
_cell_angle_beta 90.00
_cell_angle_gamma 120.00
_space_group_name_H-M_alt 'R -3 m'
_space_group_IT_number 166
_space_group_name_Hall '-R 3 2"'
loop_
_atom_site_label
_atom_site_type_symbol
_atom_site_fract_x
_atom_site_fract_y
_atom_site_fract_z
Te1 Te 0.0000 0.0000 0.0000
Os1 Os 0.0000 0.0000 0.2467
Ru1 Ru 0.0000 0.0000 0.5000
```

=====

No. 3
Te2OsRu: relaxed, PBE-GGA.

E_form (uncorrected): 0.363 eV/atom
Calculated total energy: -6.33 eV/atom
M_tot: 0.412 μB/cell
Excess energy over the best structure of this formula in the dataset: 68 meV/atom

Cell and atoms, written as CIF:
```
data_Te2OsRu
_cell_length_a 3.168
_cell_length_b 3.168
_cell_length_c 8.505
_cell_angle_alpha 90.00
_cell_angle_beta 90.00
_cell_angle_gamma 90.00
_space_group_name_H-M_alt 'P 4 m m'
_space_group_IT_number 99
_space_group_name_Hall 'P 4 -2'
loop_
_atom_site_label
_atom_site_type_symbol
_atom_site_fract_x
_atom_site_fract_y
_atom_site_fract_z
Te1 Te 0.000 0.000 0.000
Te2 Te 0.500 0.500 0.421
Os1 Os 0.000 0.000 0.595
Ru1 Ru 0.500 0.500 0.829
```